# Ce11Tl9Au4 PBE relaxed
# **Energy relative to the elements**: -385 meV per atom
# **Size of the total moment**: 9.4 μB per formula unit
# **Crystal system**: orthorhombic
# **V**: 1312.2 Å³ per cell
# **Total energy**: -217.8 eV per cell
data_Ce11Tl9Au4
_chemical_formula_sum 'Ce22 Tl18 Au8'
_cell_length_a 15.599
_cell_length_b 22.279
_cell_length_c 3.776
_cell_angle_alpha 90.00
_cell_angle_beta 90.00
_cell_angle_gamma 90.00
_symmetry_space_group_name_H-M 'C m m m'
_symmetry_Int_Tables_number 65
_symmetry_space_group_name_Hall '-C 2 2'
loop_
_atom_site_label
_atom_site_fract_x
_atom_site_fract_y
_atom_site_fract_z
Ce1 0.000 0.000 0.000
Ce2 0.000 0.151 0.000
Ce3 0.000 0.369 0.000
Ce4 0.195 0.500 0.000
Ce5 0.244 0.187 0.000
Tl1 0.000 0.500 0.500
Tl2 0.100 0.257 0.500
Tl3 0.147 0.075 0.500
Au1 0.151 0.396 0.500